# K2NiAg, relaxed, DFT PBE
data_K2NiAg
_cell_length_a 11.362
_cell_length_b 11.362
_cell_length_c 8.412
_cell_angle_alpha 47.52
_cell_angle_beta 47.52
_cell_angle_gamma 90.00
_space_group_name_H-M_alt 'P 1'
_space_group_IT_number 1
_space_group_name_Hall 'P 1'
loop_
_atom_site_label
_atom_site_type_symbol
_atom_site_fract_x
_atom_site_fract_y
_atom_site_fract_z
_atom_site_occupancy
Ni1 Ni 0.250 0.750 0.500 1
K1 K 0.875 0.713 0.750 1
K2 K 0.287 0.625 0.250 1
Ag1 Ag 0.000 0.000 0.000 1
K3 K 0.463 0.125 0.250 1
Ni2 Ni 0.500 0.500 0.000 1
Ag2 Ag 0.750 0.250 0.500 1
K4 K 0.375 0.537 0.750 1
# polymorph energy (0 for the lowest one) = 165 meV per atom
# M_tot = 0.00 μB/f.u.
# energy relative to the elements = 0.48 eV/atom

# KNi2Ag2, relaxed, DFT PBE
data_KNi2Ag2
_cell_length_a 8.119
_cell_length_b 8.119
_cell_length_c 2.743
_cell_angle_alpha 90.00
_cell_angle_beta 90.00
_cell_angle_gamma 90.00
_space_group_name_H-M_alt 'P 1'
_space_group_IT_number 1
_space_group_name_Hall 'P 1'
loop_
_atom_site_label
_atom_site_type_symbol
_atom_site_fract_x
_atom_site_fract_y
_atom_site_fract_z
_atom_site_occupancy
Ag1 Ag 0.633 0.133 0.000 1
Ni1 Ni 0.158 0.658 0.500 1
K1 K 0.500 0.500 0.000 1
Ag2 Ag 0.867 0.633 0.000 1
Ag3 Ag 0.367 0.867 0.000 1
Ni2 Ni 0.842 0.342 0.500 1
Ni3 Ni 0.342 0.158 0.500 1
Ni4 Ni 0.658 0.842 0.500 1
Ag4 Ag 0.133 0.367 0.000 1
K2 K 0.000 0.000 0.000 1
# polymorph energy (0 for the lowest one) = 57 meV per atom
# M_tot = 0.11 μB/f.u.
# energy relative to the elements = 0.42 eV/atom

# K2NiAg, relaxed, DFT PBE
data_K2NiAg
_cell_length_a 5.327
_cell_length_b 5.327
_cell_length_c 4.322
_cell_angle_alpha 89.95
_cell_angle_beta 89.95
_cell_angle_gamma 110.83
_space_group_name_H-M_alt 'P 1'
_space_group_IT_number 1
_space_group_name_Hall 'P 1'
loop_
_atom_site_label
_atom_site_type_symbol
_atom_site_fract_x
_atom_site_fract_y
_atom_site_fract_z
_atom_site_occupancy
Ni1 Ni 0.500 0.000 0.500 1
K1 K 0.000 0.000 0.000 1
Ag1 Ag 0.000 0.500 0.500 1
K2 K 0.500 0.500 0.000 1
# polymorph energy (0 for the lowest one) = 260 meV per atom
# M_tot = 0.25 μB/f.u.
# energy relative to the elements = 0.58 eV/atom

# K2NiAg, relaxed, DFT PBE
data_K2NiAg
_cell_length_a 5.327
_cell_length_b 5.327
_cell_length_c 5.327
_cell_angle_alpha 119.87
_cell_angle_beta 119.87
_cell_angle_gamma 90.23
_space_group_name_H-M_alt 'P 1'
_space_group_IT_number 1
_space_group_name_Hall 'P 1'
loop_
_atom_site_label
_atom_site_type_symbol
_atom_site_fract_x
_atom_site_fract_y
_atom_site_fract_z
_atom_site_occupancy
Ag1 Ag 0.750 0.250 0.500 1
Ni1 Ni 0.500 0.500 0.000 1
K1 K 0.250 0.750 0.500 1
K2 K 0.000 0.000 0.000 1
# polymorph energy (0 for the lowest one) = 222 meV per atom
# M_tot = 0.48 μB/f.u.
# energy relative to the elements = 0.54 eV/atom

# KNi4Ag, relaxed, DFT PBE
data_KNi4Ag
_cell_length_a 5.024
_cell_length_b 5.024
_cell_length_c 5.024
_cell_angle_alpha 60.00
_cell_angle_beta 60.00
_cell_angle_gamma 60.00
_space_group_name_H-M_alt 'P 1'
_space_group_IT_number 1
_space_group_name_Hall 'P 1'
loop_
_atom_site_label
_atom_site_type_symbol
_atom_site_fract_x
_atom_site_fract_y
_atom_site_fract_z
_atom_site_occupancy
Ni1 Ni 0.873 0.376 0.376 1
Ni2 Ni 0.376 0.376 0.376 1
Ni3 Ni 0.376 0.376 0.873 1
K1 K 0.000 0.000 0.000 1
Ag1 Ag 0.750 0.750 0.750 1
Ni4 Ni 0.376 0.873 0.376 1
# M_tot = 0.00 μB/f.u.
# energy relative to the elements = 0.48 eV/atom

# K4NiAg, relaxed, DFT PBE
data_K4NiAg
_cell_length_a 7.163
_cell_length_b 7.163
_cell_length_c 7.163
_cell_angle_alpha 60.00
_cell_angle_beta 60.00
_cell_angle_gamma 60.00
_space_group_name_H-M_alt 'P 1'
_space_group_IT_number 1
_space_group_name_Hall 'P 1'
loop_
_atom_site_label
_atom_site_type_symbol
_atom_site_fract_x
_atom_site_fract_y
_atom_site_fract_z
_atom_site_occupancy
Ag1 Ag 0.000 0.000 0.000 1
K1 K 0.375 0.874 0.375 1
K2 K 0.874 0.375 0.375 1
Ni1 Ni 0.750 0.750 0.750 1
K3 K 0.375 0.375 0.874 1
K4 K 0.375 0.375 0.375 1
# M_tot = 0.98 μB/f.u.
# energy relative to the elements = 0.76 eV/atom

# K2NiAg, relaxed, DFT PBE
data_K2NiAg
_cell_length_a 4.726
_cell_length_b 5.184
_cell_length_c 6.101
_cell_angle_alpha 64.85
_cell_angle_beta 90.00
_cell_angle_gamma 90.00
_space_group_name_H-M_alt 'P 1'
_space_group_IT_number 1
_space_group_name_Hall 'P 1'
loop_
_atom_site_label
_atom_site_type_symbol
_atom_site_fract_x
_atom_site_fract_y
_atom_site_fract_z
_atom_site_occupancy
K1 K 0.000 0.977 0.920 1
Ni1 Ni 0.000 0.658 0.559 1
K2 K 0.500 0.276 0.323 1
Ag1 Ag 0.500 0.589 0.698 1
# polymorph energy (0 for the lowest one) = 63 meV per atom
# M_tot = 0.13 μB/f.u.
# energy relative to the elements = 0.38 eV/atom

# K2NiAg, relaxed, DFT PBE
data_K2NiAg
_cell_length_a 3.636
_cell_length_b 3.636
_cell_length_c 9.765
_cell_angle_alpha 90.00
_cell_angle_beta 90.00
_cell_angle_gamma 90.00
_space_group_name_H-M_alt 'P 1'
_space_group_IT_number 1
_space_group_name_Hall 'P 1'
loop_
_atom_site_label
_atom_site_type_symbol
_atom_site_fract_x
_atom_site_fract_y
_atom_site_fract_z
_atom_site_occupancy
Ag1 Ag 0.500 0.500 0.656 1
Ni1 Ni 0.000 0.000 0.597 1
K1 K 0.500 0.500 0.337 1
K2 K 0.000 0.000 0.910 1
# polymorph energy (0 for the lowest one) = 61 meV per atom
# M_tot = 0.23 μB/f.u.
# energy relative to the elements = 0.38 eV/atom